Below is a geometry-optimized UInP2O8 structure, with properties calculated at the PBE level.

Output
The value obtained for the uncorrected formation energy is -2.3535 eV/atom. For the total energy, the calculation gives -7.730 eV/atom. The symmetry is C2/m (12).

a = 5.3439 Å, b = 5.3439 Å, c = 8.7313 Å
α = 92.16°, β = 92.16°, γ = 62.77°
Each line ends with the local moment (μB).
Element x y z (fractional)
P 0.3382 0.3382 0.7895  0.00
O 0.7154 0.7154 0.3746  -0.01
In 0.0000 0.0000 0.5000  0.00
O 0.2111 0.2111 0.9069  -0.02
O 0.2846 0.2846 0.6254  -0.01
O 0.7889 0.7889 0.0931  -0.02
O 0.7915 0.3390 0.1660  -0.02
P 0.6618 0.6618 0.2105  0.00
O 0.6610 0.2085 0.8340  -0.02
O 0.3390 0.7915 0.1660  -0.02
O 0.2085 0.6610 0.8340  -0.02
U 0.0000 0.0000 0.0000  1.09

---

Below is a geometry-optimized YAu2Cl structure, with properties calculated at the PBE level.

Output
The value obtained for the uncorrected formation energy is -0.7601 eV/atom. For the total energy, the calculation gives -4.477 eV/atom. The symmetry is P2/m (10).

a = 3.9791 Å, b = 3.9028 Å, c = 6.7068 Å
α = 54.26°, β = 90.00°, γ = 90.00°
Element x y z (fractional)
Au 0.5000 0.5000 0.0000
Au 0.0000 0.0000 0.0000
Cl 0.5000 0.5000 0.5000
Y 0.0000 0.0000 0.5000

---

Below is a geometry-optimized Ho4TmAu5 structure, with properties calculated at the PBE level.

Output
For the total energy, the calculation gives -4.795 eV/atom. As for the formation energy: -0.88 eV/atom. The symmetry is P4/mmm (123).

a = 3.5491 Å, b = 3.5491 Å, c = 18.1552 Å
α = 90.00°, β = 90.00°, γ = 90.00°
Element x y z (fractional)
Au 0.5000 0.5000 0.9022
Ho 0.0000 0.0000 0.1990
Au 0.5000 0.5000 0.5000
Au 0.5000 0.5000 0.0978
Ho 0.0000 0.0000 0.6003
Ho 0.0000 0.0000 0.8010
Au 0.5000 0.5000 0.7007
Ho 0.0000 0.0000 0.3997
Au 0.5000 0.5000 0.2993
Tm 0.0000 0.0000 0.0000